This record from OQMD via LeMat-Bulk describes crystalline CoPtSO at its relaxed geometry. The functional is PBE with a Hubbard U.

Calculated values
The magnetization comes out at 24.1 μB per cell. Its space group is Pbca (61). The calculation puts the raw total energy at -5.3555 eV/atom. The energy above the most stable polymorph in this dataset is 176.2 meV/atom.

Geometry as POSCAR:
```
CoPtSO
1.0
6.174 0.000 0.000
0.000 12.417 0.000
0.000 0.000 6.438
Co Pt S O
8 8 8 8
Direct
0.038 0.232 0.128
0.038 0.268 0.628
0.462 0.732 0.128
0.462 0.768 0.628
0.538 0.232 0.372
0.538 0.268 0.872
0.962 0.732 0.372
0.962 0.768 0.872
0.249 0.559 0.524
0.249 0.941 0.024
0.251 0.059 0.524
0.251 0.441 0.024
0.749 0.559 0.976
0.749 0.941 0.476
0.751 0.059 0.976
0.751 0.441 0.476
0.001 0.017 0.249
0.001 0.483 0.749
0.499 0.517 0.249
0.499 0.983 0.749
0.501 0.017 0.251
0.501 0.483 0.751
0.999 0.517 0.251
0.999 0.983 0.751
0.219 0.245 0.877
0.219 0.255 0.377
0.281 0.745 0.877
0.281 0.755 0.377
0.719 0.245 0.623
0.719 0.255 0.123
0.781 0.745 0.623
0.781 0.755 0.123
```